Entry a
## CsMgSbPt (PBE-GGA)

Data for a relaxed CsMgSbPt crystal.

## Properties
Space-group type: F-43m, No. 216

extended XYZ file:
```
4
Lattice="-0.791 -5.039 -1.315 -4.663 -2.265 0.933 -3.193 -1.205 -4.013" Properties=species:S:1:pos:R:3 pbc="T T T"
Cs -4.323 -4.255 -2.198
Mg -6.485 -6.382 -3.297
Sb 0.000 0.000 0.000
Pt -2.162 -2.127 -1.099
```

---

Entry b
## CsMgSbPt (PBE-GGA)

Data for a relaxed CsMgSbPt crystal.

## Properties
Space-group type: F-43m, No. 216

extended XYZ file:
```
4
Lattice="2.483 1.419 4.380 -1.048 4.618 2.222 -2.599 0.191 4.535" Properties=species:S:1:pos:R:3 pbc="T T T"
Pt -0.582 3.114 5.568
Cs 0.000 0.000 0.000
Sb -0.291 1.557 2.784
Mg -0.874 4.671 8.353
```

---

Most stable to least stable, the ends of the list are entry b and entry a.

---

Entry a
## CsMgTaPt (PBE-GGA)

Data for a relaxed CsMgTaPt crystal.

## Properties
Space-group type: F-43m, No. 216

extended XYZ file:
```
4
Lattice="2.666 2.809 3.041 -1.908 1.481 4.291 1.698 -1.871 4.226" Properties=species:S:1:pos:R:3 pbc="T T T"
Ta 0.614 0.605 2.889
Cs 0.000 0.000 0.000
Pt 1.228 1.210 5.779
Mg 1.842 1.814 8.668
```

---

Entry b
## CsMgTaPt (PBE-GGA)

Data for a relaxed CsMgTaPt crystal.

## Properties
Space-group type: F-43m, No. 216

extended XYZ file:
```
4
Lattice="-4.929 -0.974 -1.084 -3.238 3.878 -0.947 -1.782 0.755 -4.761" Properties=species:S:1:pos:R:3 pbc="T T T"
Cs -4.974 1.829 -3.396
Mg -7.461 2.744 -5.094
Pt -2.487 0.915 -1.698
Ta 0.000 0.000 0.000
```

---

Most stable to least stable, the ends of the list are entry a and entry b.

---

Entry a
## CsPuMg (PBE-GGA)

Data for a relaxed CsPuMg crystal.

## Properties
Space-group type: F-43m, No. 216

extended XYZ file:
```
3
Lattice="5.876 -0.377 1.550 2.596 4.478 3.207 1.562 -0.928 5.811" Properties=species:S:1:pos:R:3 pbc="T T T"
Cs 2.509 0.793 2.642
Mg 0.000 0.000 0.000
Pu 7.526 2.380 7.926
```

---

Entry b
## CsPuMg (PBE-GGA)

Data for a relaxed CsPuMg crystal.

## Properties
Space-group type: F-43m, No. 216

extended XYZ file:
```
3
Lattice="2.866 1.655 4.680 -2.866 1.655 4.680 0.000 -3.309 4.680" Properties=species:S:1:pos:R:3 pbc="T T T"
Cs 0.000 0.000 0.000
Pu 0.000 0.000 3.510
Mg 0.000 0.000 10.531
```

---

Most stable to least stable, the ends of the list are entry a and entry b.

---

Entry a
## CsMo2 (PBE-GGA)

Data for a relaxed CsMo2 crystal.

## Properties
Space-group type: Fd-3m, No. 227

extended XYZ file:
```
6
Lattice="3.022 -0.878 8.026 6.828 4.597 2.561 -0.997 6.386 5.704" Properties=species:S:1:pos:R:3 pbc="T T T"
Mo 4.831 3.350 10.122
Mo 3.320 3.789 6.109
Mo 2.822 6.982 8.961
Cs 4.427 5.052 8.146
Mo 6.734 6.088 7.390
Cs 2.213 2.526 4.073
```

---

Entry b
## CsMo2 (PBE-GGA)

Data for a relaxed CsMo2 crystal.

## Properties
Space-group type: Fd-3m, No. 227

extended XYZ file:
```
6
Lattice="0.000 4.062 4.062 4.062 0.000 4.062 4.062 4.062 0.000" Properties=species:S:1:pos:R:3 pbc="T T T"
Cs 0.000 0.000 0.000
Mo 3.046 5.077 3.046
Mo 5.077 3.046 3.046
Mo 5.077 5.077 5.077
Cs 2.031 2.031 2.031
Mo 3.046 3.046 5.077
```

---

Most stable to least stable, the ends of the list are entry b and entry a.